First-principles (PBE with a Hubbard U) data for Li2SmMoF8 after structural relaxation, as listed in Alexandria via LeMat-Bulk.

Unit cell a=4.0859 b=5.1358 c=7.3948 alpha=95.75 beta=90.37 gamma=94.87
Closest atoms and distances in Å follow each position.
Space group P-1 (No. 2)
Symmetry-distinct sites (fractional):
Li1 0.0379 0.4617 0.2950 x2  5 F 1.99-2.07
Sm1 0.5000 0.0000 0.0000 x1  8 F 2.28-2.55
Mo1 0.5000 0.0000 0.5000 x1  6 F 2.11-2.15
F1 0.0659 0.2485 0.0484 x2  1 Li 2.04, 1 Sm 2.28
F2 0.1299 0.2623 0.5131 x2  2 Li 2.04-2.07, 1 Mo 2.11
F3 0.3645 0.7613 0.2504 x2  1 Li 2.00, 1 Mo 2.15
F4 0.3843 0.7625 0.7143 x2  1 Li 1.99, 1 Mo 2.13

Output
Total magnetization = 0.2500 μB/atom
Crystal system = triclinic
E = -68.456 eV for the cell shown



First-principles (PBE with a Hubbard U) data for LiTlMoF6 after structural relaxation, as listed in Alexandria via LeMat-Bulk.

Unit cell a=5.4342 b=5.4601 c=6.0671 alpha=90.17 beta=90.46 gamma=118.46
Closest atoms and distances in Å follow each position.
Space group P1 (No. 1)
Symmetry-distinct sites (fractional):
Li1 0.0000 0.0000 0.0000 x1  6 F 2.05-2.13
Tl1 0.6776 0.3169 0.4997 x1  6 F 2.76-2.88
Mo1 0.3385 0.6591 0.9998 x1  6 F 1.98-2.03
F1 0.0485 0.3400 0.1799 x1  1 Mo 2.03, 1 Li 2.06
F2 0.0493 0.6975 0.8185 x1  1 Mo 2.00, 1 Li 2.10
F3 0.2934 0.3413 0.8125 x1  1 Mo 1.99, 1 Li 2.13
F4 0.3015 0.9485 0.1799 x1  1 Mo 2.01, 1 Li 2.09
F5 0.6583 0.7053 0.1880 x1  1 Mo 1.98, 1 Li 2.13
F6 0.6582 0.9506 0.8204 x1  1 Mo 2.03, 1 Li 2.05

Output
Total magnetization = 0.2222 μB/atom
Crystal system = triclinic
E = -45.272 eV for the cell shown



First-principles (PBE with a Hubbard U) data for Li2TlMoF8 after structural relaxation, as listed in Alexandria via LeMat-Bulk.

Unit cell a=4.8179 b=4.8824 c=7.3081 alpha=85.63 beta=85.16 gamma=84.83
Closest atoms and distances in Å follow each position.
Space group P-1 (No. 2)
Symmetry-distinct sites (fractional):
Li1 0.0299 0.0376 0.2836 x2  5 F 1.99-2.14
Tl1 0.5000 0.5000 0.5000 x1  6 F 2.32-2.60
Mo1 0.5000 0.5000 0.0000 x1  6 F 1.96-2.05
F1 0.1691 0.1817 0.5025 x2  2 Li 1.99-2.05
F2 0.2201 0.2306 0.0376 x2  1 Mo 1.96, 1 Li 2.14
F3 0.2938 0.7124 0.1991 x2  1 Mo 1.99, 1 Li 2.04
F4 0.2968 0.7128 0.7899 x2  1 Li 1.99, 1 Mo 2.05

Output
Total magnetization = 0.1197 μB/atom
Crystal system = triclinic
E = -57.568 eV for the cell shown



First-principles (PBE with a Hubbard U) data for LiTl2MoF6 after structural relaxation, as listed in Alexandria via LeMat-Bulk.

Unit cell a=6.0322 b=6.0461 c=8.5335 alpha=90.00 beta=90.00 gamma=90.00
Closest atoms and distances in Å follow each position.
Space group Immm (No. 71)
Symmetry-distinct sites (fractional):
Li1 0.0000 0.0000 0.0000 x2  6 F 2.16
Tl1 0.0000 0.5000 0.2505 x4  12 F 3.01-3.03
Mo1 0.0000 0.0000 0.5000 x2  6 F 2.11
F1 0.0000 0.0000 0.2525 x4  1 Mo 2.11, 1 Li 2.16
F2 0.2470 0.2482 0.5000 x8  1 Mo 2.11, 1 Li 2.16

Output
Total magnetization = 0.3000 μB/atom
Crystal system = orthorhombic
E = -97.330 eV for the cell shown



First-principles (PBE with a Hubbard U) data for Li3Tl2MoF12 after structural relaxation, as listed in Alexandria via LeMat-Bulk.

Unit cell a=6.6605 b=6.6605 c=22.2101 alpha=90.00 beta=90.00 gamma=120.00
Closest atoms and distances in Å follow each position.
Space group R-3m (No. 166, hexagonal axes)
Symmetry-distinct sites (fractional):
Li1 0.0000 0.5000 0.0000 x9  4 F 1.99
Tl1 0.0000 0.0000 0.0751 x6  3 F 2.29
Mo1 0.0000 0.0000 0.5000 x3  6 F 1.92
F1 0.0330 0.5165 0.3683 x18  2 Li 1.99
F2 0.0577 0.5288 0.1180 x18  1 Mo 1.92

Output
Total magnetization = 0.1588 μB/atom
Crystal system = trigonal
E = -238.882 eV for the cell shown



First-principles (PBE with a Hubbard U) data for Li2TlMoF6 after structural relaxation, as listed in Alexandria via LeMat-Bulk.

Unit cell a=9.5230 b=10.5240 c=6.8280 alpha=90.00 beta=100.94 gamma=90.00
Closest atoms and distances in Å follow each position.
Space group C2/c (No. 15)
Symmetry-distinct sites (fractional):
Li1 0.1732 0.0758 0.1257 x8  3 F 1.85-1.91
Tl1 0.0000 0.3988 0.2500 x4  2 F 2.56
Mo1 0.0000 0.2038 0.7500 x4  6 F 2.08-2.13
F1 0.0188 0.1919 0.0584 x8  1 Li 1.90, 1 Mo 2.08
F2 0.1507 0.3509 0.7787 x8  1 Li 1.85
F3 0.1594 0.0596 0.8076 x8  1 Li 1.91, 1 Mo 2.13

Output
Total magnetization = 0.3000 μB/atom
Crystal system = monoclinic
E = -200.481 eV for the cell shown



First-principles (PBE with a Hubbard U) data for LiVMoF6 after structural relaxation, as listed in Alexandria via LeMat-Bulk.

Unit cell a=5.2387 b=5.2387 c=9.4110 alpha=90.00 beta=90.00 gamma=120.00
Closest atoms and distances in Å follow each position.
Space group P-31c (No. 163)
Symmetry-distinct sites (fractional):
Li1 0.3333 0.6667 0.2500 x2  6 F 2.06
V1 0.3333 0.6667 0.7500 x2  6 F 2.12
Mo1 0.0000 0.0000 0.0000 x2  6 F 2.12
F1 0.0082 0.3352 0.1293 x12  1 Li 2.06, 1 V 2.12, 1 Mo 2.12

Output
Total magnetization = 0.6667 μB/atom
Crystal system = trigonal
E = -104.090 eV for the cell shown



First-principles (PBE with a Hubbard U) data for LiMo2WF after structural relaxation, as listed in Alexandria via LeMat-Bulk.

Unit cell a=4.9722 b=4.9722 c=5.0243 alpha=90.00 beta=90.00 gamma=90.00
Closest atoms and distances in Å follow each position.
Space group P4/mmm (No. 123)
Symmetry-distinct sites (fractional):
Li1 0.0000 0.0000 0.0000 x1  4 Mo 2.49, 2 W 2.51
Mo1 0.0000 0.5000 0.0000 x2  2 Li 2.49
W1 0.0000 0.0000 0.5000 x1  2 Li 2.51
F1 0.5000 0.5000 0.5000 x1  4 W 3.52, 8 Mo 3.53

Output
Total magnetization = 2.6651 μB/atom
Crystal system = tetragonal
E = -16.938 eV for the cell shown